4
Lattice="-1.387 -2.114 2.322 3.160 -0.621 1.322 -1.501 5.538 1.608" Properties=species:S:1:pos:R:3 comment="SiNiAs2 | Alexandria | PBEsol | relaxed" space_group="Immm, No. 71" dft_energy_ev_per_atom=-5.570 total_magnetization_mub_per_fu=0.0 pbc="T T T"
As 0.470 1.454 4.142
As -0.199 1.350 1.110
Ni -0.693 -1.057 1.161
Si 1.580 -0.310 0.661